Entry 1:
This record from the Alexandria database describes a geometry-optimized Dy3Mg2 structure. The functional is PBE.

```
Dy3Mg2
1.0
8.854 0.000 0.000
0.000 8.854 0.000
0.000 0.000 7.424
Dy Mg
12 8
Direct
0.000 0.500 0.250
0.000 0.500 0.750
0.153 0.153 0.000
0.192 0.192 0.500
0.308 0.692 0.000
0.347 0.653 0.500
0.500 0.000 0.250
0.500 0.000 0.750
0.653 0.347 0.500
0.692 0.308 0.000
0.808 0.808 0.500
0.847 0.847 0.000
0.125 0.875 0.294
0.125 0.875 0.706
0.375 0.375 0.206
0.375 0.375 0.794
0.625 0.625 0.206
0.625 0.625 0.794
0.875 0.125 0.294
0.875 0.125 0.706
```

Values from the calculation:
Its density of states at the Fermi level is 8.35 states/eV/f.u. The distance to the lowest polymorph of the same formula is 0.109 eV per atom. The formation energy is 0.060 eV per atom. Its total energy is -3.339 eV/atom.

=====

Entry 2:
This record from the Alexandria database describes a geometry-optimized Y2Tm3Hg2 structure. The functional is PBE.

```
Y2Tm3Hg2
1.0
10.351 0.000 0.000
0.000 4.850 0.000
-2.931 0.000 7.857
Y Tm Hg
4 6 4
Direct
0.118 0.000 0.270
0.382 0.500 0.730
0.618 0.500 0.270
0.882 0.000 0.730
0.000 0.500 0.500
0.137 0.500 0.947
0.363 0.000 0.053
0.500 0.000 0.500
0.637 0.000 0.947
0.863 0.500 0.053
0.180 0.000 0.685
0.320 0.500 0.315
0.680 0.500 0.685
0.820 0.000 0.315
```

Values from the calculation:
Its density of states at the Fermi level is 8.45 states/eV/f.u. The formation energy is -0.222 eV per atom. Its total energy is -4.072 eV/atom.

=====

Entry 3:
This record from the Alexandria database describes a geometry-optimized Nb2RhSe structure. The functional is PBE.

```
Nb2RhSe
1.0
7.070 0.000 0.000
0.000 7.070 0.000
0.000 0.000 5.719
Nb Rh Se
8 4 4
Direct
0.243 0.750 0.125
0.250 0.243 0.875
0.250 0.257 0.375
0.257 0.750 0.625
0.743 0.250 0.625
0.750 0.743 0.375
0.750 0.757 0.875
0.757 0.250 0.125
0.000 0.000 0.500
0.000 0.500 0.750
0.500 0.000 0.250
0.500 0.500 0.000
0.000 0.000 0.000
0.000 0.500 0.250
0.500 0.000 0.750
0.500 0.500 0.500
```

Values from the calculation:
Its density of states at the Fermi level is 2.87 states/eV/f.u. The calculation puts the formation energy without anion corrections at -0.026 eV/atom. Its total energy is -7.770 eV/atom.